1.
Material: Cs3Li2NpBr8
Method: DFT, GGA-PBE
State: optimized geometry

Properties
For the total DFT energy (no corrections), the calculation gives -3.900 eV per atom. The calculation puts the density of states at the Fermi level at 9.7 states/eV/f.u.

Lattice parameters (Å, degrees): 7.9746 7.9746 10.2572 90.00 90.00 120.00
Last column: nearest neighbours and their distance in Å.
Space group P-3m1 (No. 164)
One atom of each set of equivalent atoms:
Cs 0.0000 0.0000 0.0000 [1 per cell]  12 Br 4.13-4.61
Cs 0.3333 0.6667 0.6477 [2 per cell]  1 Br 3.40
Li 0.3333 0.6667 0.2090 [2 per cell]  4 Br 2.36-2.62
Np 0.0000 0.0000 0.5000 [1 per cell]  6 Br 2.88
Br 0.1673 0.3347 0.3331 [6 per cell]  1 Li 2.62, 1 Np 2.88
Br 0.3333 0.6667 0.9787 [2 per cell]  1 Li 2.36

***

2.
Material: KSiAg
Method: DFT, GGA-PBE
State: optimized geometry

Properties
For the total DFT energy (no corrections), the calculation gives -3.104 eV per atom. The value obtained for the energy relative to the lowest polymorph listed for this composition is 26.7 meV per atom. The calculation puts the density of states at the Fermi level at 0.9 states/eV/f.u.

Lattice parameters (Å, degrees): 10.8576 4.6019 8.3012 90.00 128.45 90.00
Last column: nearest neighbours and their distance in Å.
Space group C2/m (No. 12)
One atom of each set of equivalent atoms:
K 0.0711 0.0000 0.3540 [4 per cell]  4 Ag 3.22-3.59, 3 Si 3.52-3.60, 1 K 3.59
Si 0.1375 0.5000 0.0947 [4 per cell]  1 Si 2.36, 2 Ag 2.55
Ag 0.2480 0.0000 0.1148 [4 per cell]  3 Si 2.55-2.69

***

3.
Material: Pm3H2Se3
Method: DFT, GGA-PBE
State: optimized geometry

Properties
For the total DFT energy (no corrections), the calculation gives -5.142 eV per atom. The calculation puts the density of states at the Fermi level at 2.2 states/eV/f.u.

Lattice parameters (Å, degrees): 8.5019 8.5019 5.8513 90.00 90.00 120.00
Last column: nearest neighbours and their distance in Å.
Space group P6_3/mcm (No. 193)
One atom of each set of equivalent atoms:
Pm 0.0000 0.3695 0.2500 [6 per cell]  5 Se 2.86-3.00, 4 H 3.07
H 0.3333 0.6667 0.0000 [4 per cell]  2 H 2.93, 6 Pm 3.07
Se 0.0000 0.2936 0.7500 [6 per cell]  5 Pm 2.86-3.00

***

4.
Material: CsRbNaCd
Method: DFT, GGA-PBE
State: optimized geometry

Properties
For the total DFT energy (no corrections), the calculation gives -0.983 eV per atom. The value obtained for the energy relative to the lowest polymorph listed for this composition is 33.0 meV per atom. The calculation puts the density of states at the Fermi level at 2.5 states/eV/f.u. The calculation puts the energy relative to the elements at 0.031 eV/atom.

Lattice parameters (Å, degrees): 9.6754 9.6754 9.6754 90.00 90.00 90.00
Last column: nearest neighbours and their distance in Å.
Space group F-43m (No. 216)
One atom of each set of equivalent atoms:
Cs 0.0000 0.0000 0.0000 [4 per cell]  4 Cd 4.19, 4 Na 4.19
Rb 0.0000 0.0000 0.5000 [4 per cell]  4 Cd 4.19, 4 Na 4.19
Na 0.2500 0.2500 0.7500 [4 per cell]  4 Rb 4.19, 4 Cs 4.19
Cd 0.2500 0.2500 0.2500 [4 per cell]  4 Rb 4.19, 4 Cs 4.19

***

5.
Material: La2Nd2Mg3
Method: DFT, GGA-PBE
State: optimized geometry

Properties
For the total DFT energy (no corrections), the calculation gives -3.470 eV per atom. The calculation puts the density of states at the Fermi level at 7.6 states/eV/f.u. The calculation puts the energy relative to the elements at -0.016 eV/atom.

Lattice parameters (Å, degrees): 4.7221 25.8620 3.4798 90.00 90.00 90.00
Last column: nearest neighbours and their distance in Å.
Space group Cmmm (No. 65)
One atom of each set of equivalent atoms:
La 0.0000 0.2093 0.0000 [4 per cell]  4 La 3.16-3.48, 4 Mg 3.44
Nd 0.0000 0.0699 0.0000 [4 per cell]  8 Mg 3.44-3.45, 3 Nd 3.48-3.61, 1 La 3.61
Mg 0.0000 0.3598 0.5000 [4 per cell]  4 La 3.44, 4 Nd 3.45, 3 Mg 3.48-3.62
Mg 0.0000 0.5000 0.5000 [2 per cell]  8 Nd 3.44, 4 Mg 3.48-3.62

***

6.
Material: La2PuSb4Pt3
Method: DFT, GGA-PBE
State: optimized geometry

Properties
For the total DFT energy (no corrections), the calculation gives -6.652 eV per atom. The calculation puts the density of states at the Fermi level at 15.4 states/eV/f.u.

Lattice parameters (Å, degrees): 4.6659 4.6659 11.6627 90.00 90.00 90.00
Last column: nearest neighbours and their distance in Å.
Space group P-4m2 (No. 115)
One atom of each set of equivalent atoms:
La 0.0000 0.5000 0.2349 [2 per cell]  8 Sb 3.53-3.60, 6 Pt 3.58-3.87, 2 Pu 3.87
Pu 0.0000 0.0000 0.5000 [1 per cell]  4 Sb 2.97, 4 Pt 3.30
Sb 0.0000 0.0000 0.0000 [1 per cell]  4 Pt 2.70
Sb 0.0000 0.5000 0.6579 [2 per cell]  1 Pt 2.64
Sb 0.5000 0.5000 0.0000 [1 per cell]  4 Pt 2.70
Pt 0.0000 0.5000 0.8841 [2 per cell]  5 Sb 2.64-2.70
Pt 0.5000 0.5000 0.5000 [1 per cell]  4 Sb 2.97, 4 Pu 3.30

***

7.
Material: LiAc2Zn3Ga4
Method: DFT, GGA-PBE
State: optimized geometry

Properties
For the total DFT energy (no corrections), the calculation gives -3.052 eV per atom. The calculation puts the density of states at the Fermi level at 3.5 states/eV/f.u. The calculation puts the energy relative to the elements at -0.446 eV/atom.

Lattice parameters (Å, degrees): 4.4589 4.4589 10.7552 90.00 90.00 90.00
Last column: nearest neighbours and their distance in Å.
Space group P-4m2 (No. 115)
One atom of each set of equivalent atoms:
Li 0.0000 0.0000 0.0000 [1 per cell]  4 Ga 2.62
Ac 0.0000 0.5000 0.7481 [2 per cell]  6 Zn 3.39-3.51, 8 Ga 3.42-3.48, 2 Li 3.51
Zn 0.0000 0.5000 0.3670 [2 per cell]  5 Ga 2.57-2.65
Zn 0.5000 0.5000 0.0000 [1 per cell]  4 Ga 2.62
Ga 0.0000 0.0000 0.5000 [1 per cell]  4 Zn 2.65
Ga 0.0000 0.5000 0.1285 [2 per cell]  3 Zn 2.57-2.62, 2 Li 2.62
Ga 0.5000 0.5000 0.5000 [1 per cell]  4 Zn 2.65

***

8.
Material: Ac2PmTmTe6
Method: DFT, GGA-PBE
State: optimized geometry

Properties
For the total DFT energy (no corrections), the calculation gives -5.068 eV per atom. The calculation puts the density of states at the Fermi level at 0.0 states/eV/f.u.

Lattice parameters (Å, degrees): 8.1219 8.1219 21.2390 90.00 90.00 120.00
Last column: nearest neighbours and their distance in Å.
Space group R3 (No. 146, hexagonal axes)
One atom of each set of equivalent atoms:
Ac 0.0000 0.0000 0.0000 [3 per cell]  6 Te 3.32-3.37
Ac 0.0000 0.0000 0.4993 [3 per cell]  6 Te 3.31-3.38
Pm 0.0000 0.0000 0.2984 [3 per cell]  6 Te 3.12-3.17
Tm 0.0000 0.0000 0.7995 [3 per cell]  6 Te 3.04-3.07
Te 0.0081 0.3840 0.0579 [9 per cell]  1 Tm 3.04, 1 Pm 3.17, 2 Ac 3.32-3.38
Te 0.0200 0.6306 0.5556 [9 per cell]  1 Tm 3.07, 1 Pm 3.12, 2 Ac 3.31-3.37

***

9.
Material: Cr2BiSb
Method: DFT, GGA-PBE
State: optimized geometry

Properties
For the total DFT energy (no corrections), the calculation gives -6.104 eV per atom. The value obtained for the energy relative to the lowest polymorph listed for this composition is 0.0 meV per atom. The calculation puts the density of states at the Fermi level at 1.4 states/eV/f.u.

Lattice parameters (Å, degrees): 6.1017 6.1017 12.9346 90.00 90.00 90.00
Last column: nearest neighbours and their distance in Å.
Space group I-42d (No. 122)
One atom of each set of equivalent atoms:
Cr 0.2373 0.2500 0.1250 [8 per cell]  2 Sb 2.65, 2 Bi 2.74
Bi 0.0000 0.0000 0.5000 [4 per cell]  4 Cr 2.74
Sb 0.0000 0.0000 0.0000 [4 per cell]  4 Cr 2.65

***

10.
Material: Li17Ac2Rh3
Method: DFT, GGA-PBE
State: optimized geometry

Properties
For the total DFT energy (no corrections), the calculation gives -2.910 eV per atom. The calculation puts the density of states at the Fermi level at 9.9 states/eV/f.u. The calculation puts the energy relative to the elements at -0.055 eV/atom.

Lattice parameters (Å, degrees): 10.1236 10.1236 15.1075 90.00 90.00 120.00
Last column: nearest neighbours and their distance in Å.
Space group R-3m (No. 166, hexagonal axes)
One atom of each set of equivalent atoms:
Li 0.0000 0.0000 0.0924 [6 per cell]  7 Li 2.79-3.02
Li 0.0000 0.2648 0.0000 [18 per cell]  1 Rh 2.38
Li 0.0000 0.5000 0.5000 [9 per cell]  10 Li 2.92-3.13
Li 0.0096 0.5048 0.1688 [18 per cell]  1 Rh 2.55, 2 Li 2.84
Ac 0.0000 0.0000 0.3314 [6 per cell]  3 Rh 2.92
Rh 0.0000 0.5000 0.0000 [9 per cell]  4 Li 2.38-2.55